1.
Here is a relaxed Tb6Nd4Y crystal from Alexandria. Energies are from GGA-PBE.

Cell: 8.564 8.564 8.564 Å, 126.48 126.48 79.10°
Atoms (fractional coordinates):
Tb: 0.000 0.500 0.500
Tb: 0.055 0.574 0.000
Tb: 0.426 0.426 0.481
Tb: 0.500 0.000 0.500
Tb: 0.574 0.055 0.000
Tb: 0.945 0.945 0.519
Nd: 0.249 0.249 0.651
Nd: 0.402 0.751 0.000
Nd: 0.598 0.598 0.349
Nd: 0.751 0.402 0.000
Y: 0.000 0.000 0.000

**Excess energy over the best structure of this formula in the dataset**: 0.130 eV per atom

***

2.
Here is a relaxed Tb3NdY5 crystal from Alexandria. Energies are from GGA-PBE.

Cell: 9.728 9.728 11.349 Å, 110.45 110.45 38.07°
Atoms (fractional coordinates):
Tb: 0.000 0.000 0.000
Tb: 0.000 0.000 0.500
Tb: 0.012 0.647 0.627
Tb: 0.353 0.988 0.873
Tb: 0.647 0.012 0.127
Tb: 0.988 0.353 0.373
Nd: 0.127 0.873 0.250
Nd: 0.873 0.127 0.750
Y: 0.112 0.547 0.290
Y: 0.146 0.533 0.985
Y: 0.400 0.600 0.750
Y: 0.453 0.888 0.210
Y: 0.467 0.854 0.515
Y: 0.533 0.146 0.485
Y: 0.547 0.112 0.790
Y: 0.600 0.400 0.250
Y: 0.854 0.467 0.015
Y: 0.888 0.453 0.710

**Excess energy over the best structure of this formula in the dataset**: 0.030 eV per atom

***

3.
Here is a relaxed Tb2NdY7 crystal from Alexandria. Energies are from GGA-PBE.

Cell: 15.136 15.136 3.458 Å, 90.00 90.00 155.22°
Atoms (fractional coordinates):
Tb: 0.207 0.793 0.000
Tb: 0.793 0.207 0.000
Nd: 0.000 0.000 0.500
Y: 0.146 0.347 0.000
Y: 0.310 0.690 0.500
Y: 0.347 0.146 0.000
Y: 0.500 0.500 0.000
Y: 0.653 0.854 0.000
Y: 0.690 0.310 0.500
Y: 0.854 0.653 0.000

**Excess energy over the best structure of this formula in the dataset**: 0.000 eV per atom

***

4.
Here is a relaxed Tb5Nd2Y4 crystal from Alexandria. Energies are from GGA-PBE.

Cell: 12.689 12.689 12.689 Å, 164.04 137.99 45.21°
Atoms (fractional coordinates):
Tb: 0.000 0.000 0.000
Tb: 0.052 0.358 0.695
Tb: 0.337 0.642 0.695
Tb: 0.663 0.358 0.305
Tb: 0.948 0.642 0.305
Nd: 0.267 0.767 0.500
Nd: 0.733 0.233 0.500
Y: 0.310 0.500 0.810
Y: 0.402 0.902 0.500
Y: 0.598 0.098 0.500
Y: 0.690 0.500 0.190

**Excess energy over the best structure of this formula in the dataset**: 0.070 eV per atom

***

5.
Here is a relaxed Tb3Nd2Y8 crystal from Alexandria. Energies are from GGA-PBE.

Cell: 11.021 11.021 5.627 Å, 90.01 90.01 40.65°
Atoms (fractional coordinates):
Tb: 0.000 0.000 0.000
Tb: 0.286 0.714 0.500
Tb: 0.714 0.286 0.500
Nd: 0.241 0.241 0.000
Nd: 0.759 0.759 0.000
Y: 0.130 0.130 0.500
Y: 0.182 0.606 0.000
Y: 0.335 0.335 0.500
Y: 0.394 0.818 0.000
Y: 0.606 0.182 0.000
Y: 0.665 0.665 0.500
Y: 0.818 0.394 0.000
Y: 0.870 0.870 0.500

**Excess energy over the best structure of this formula in the dataset**: 0.098 eV per atom

***

6.
Here is a relaxed Tb5Nd3Y3 crystal from Alexandria. Energies are from GGA-PBE.

Cell: 11.254 11.254 3.463 Å, 90.00 90.00 120.00°
Atoms (fractional coordinates):
Tb: 0.000 0.841 0.000
Tb: 0.159 0.159 0.000
Tb: 0.333 0.667 0.000
Tb: 0.667 0.333 0.000
Tb: 0.841 0.000 0.000
Nd: 0.000 0.339 0.000
Nd: 0.339 0.000 0.000
Nd: 0.661 0.661 0.000
Y: 0.000 0.594 0.500
Y: 0.406 0.406 0.500
Y: 0.594 0.000 0.500

***

7.
Here is a relaxed Tb3NdY crystal from Alexandria. Energies are from GGA-PBE.

Cell: 10.170 10.170 6.617 Å, 100.33 100.33 81.44°
Atoms (fractional coordinates):
Tb: 0.084 0.714 0.549
Tb: 0.112 0.485 0.850
Tb: 0.223 0.373 0.353
Tb: 0.286 0.916 0.951
Tb: 0.373 0.223 0.853
Tb: 0.485 0.112 0.350
Tb: 0.515 0.888 0.650
Tb: 0.627 0.777 0.147
Tb: 0.714 0.084 0.049
Tb: 0.777 0.627 0.647
Tb: 0.888 0.515 0.150
Tb: 0.916 0.286 0.451
Nd: 0.314 0.686 0.250
Nd: 0.424 0.576 0.750
Nd: 0.576 0.424 0.250
Nd: 0.686 0.314 0.750
Y: 0.026 0.175 0.951
Y: 0.175 0.026 0.451
Y: 0.825 0.974 0.549
Y: 0.974 0.825 0.049

**Excess energy over the best structure of this formula in the dataset**: 0.027 eV per atom

***

8.
Here is a relaxed Tb8Nd3Y2 crystal from Alexandria. Energies are from GGA-PBE.

Cell: 10.826 10.826 5.686 Å, 90.03 90.03 41.83°
Atoms (fractional coordinates):
Tb: 0.101 0.683 0.000
Tb: 0.171 0.171 0.501
Tb: 0.317 0.899 0.000
Tb: 0.365 0.365 0.500
Tb: 0.635 0.635 0.500
Tb: 0.683 0.101 0.000
Tb: 0.829 0.829 0.499
Tb: 0.899 0.317 0.000
Nd: 0.209 0.791 0.500
Nd: 0.500 0.500 0.000
Nd: 0.791 0.209 0.500
Y: 0.258 0.258 0.001
Y: 0.742 0.742 0.999

**Excess energy over the best structure of this formula in the dataset**: 0.174 eV per atom

***

9.
Here is a relaxed Tb5Nd2Y2 crystal from Alexandria. Energies are from GGA-PBE.

Cell: 10.138 10.138 10.138 Å, 84.86 108.12 141.12°
Atoms (fractional coordinates):
Tb: 0.245 0.052 0.297
Tb: 0.245 0.448 0.693
Tb: 0.437 0.443 0.494
Tb: 0.455 0.046 0.124
Tb: 0.455 0.831 0.909
Tb: 0.755 0.552 0.307
Tb: 0.755 0.948 0.703
Tb: 0.922 0.331 0.876
Tb: 0.922 0.546 0.091
Tb: 0.949 0.943 0.506
Nd: 0.809 0.309 0.500
Nd: 0.809 0.809 0.000
Nd: 0.886 0.143 0.243
Nd: 0.900 0.643 0.757
Y: 0.347 0.223 0.872
Y: 0.347 0.975 0.624
Y: 0.351 0.475 0.128
Y: 0.351 0.723 0.376

**Excess energy over the best structure of this formula in the dataset**: 0.187 eV per atom

***

10.
Here is a relaxed Tb2NdY4 crystal from Alexandria. Energies are from GGA-PBE.

Cell: 16.779 3.562 8.809 Å, 90.00 119.49 90.00°
Atoms (fractional coordinates):
Tb: 0.070 0.000 0.430
Tb: 0.430 0.500 0.570
Tb: 0.570 0.500 0.430
Tb: 0.930 0.000 0.570
Nd: 0.000 0.000 0.000
Nd: 0.500 0.500 0.000
Y: 0.142 0.500 0.835
Y: 0.206 0.500 0.294
Y: 0.294 0.000 0.706
Y: 0.358 0.000 0.165
Y: 0.642 0.000 0.835
Y: 0.706 0.000 0.294
Y: 0.794 0.500 0.706
Y: 0.858 0.500 0.165

**Excess energy over the best structure of this formula in the dataset**: 0.000 eV per atom

***

11.
Here is a relaxed TbNd2Y3 crystal from Alexandria. Energies are from GGA-PBE.

Cell: 6.674 17.751 3.418 Å, 90.00 90.00 90.00°
Atoms (fractional coordinates):
Tb: 0.000 0.000 0.000
Tb: 0.500 0.500 0.500
Nd: 0.236 0.350 0.500
Nd: 0.264 0.850 0.000
Nd: 0.736 0.150 0.000
Nd: 0.764 0.650 0.500
Y: 0.000 0.500 0.000
Y: 0.240 0.179 0.000
Y: 0.260 0.679 0.500
Y: 0.500 0.000 0.500
Y: 0.740 0.321 0.500
Y: 0.760 0.821 0.000

**Excess energy over the best structure of this formula in the dataset**: 0.098 eV per atom

***

12.
Here is a relaxed Tb5Nd2Y4 crystal from Alexandria. Energies are from GGA-PBE.

Cell: 12.108 12.108 8.789 Å, 96.43 96.43 16.52°
Atoms (fractional coordinates):
Tb: 0.000 0.000 0.000
Tb: 0.267 0.267 0.174
Tb: 0.359 0.359 0.878
Tb: 0.641 0.641 0.122
Tb: 0.733 0.733 0.826
Nd: 0.407 0.407 0.256
Nd: 0.593 0.593 0.744
Y: 0.178 0.178 0.473
Y: 0.455 0.455 0.639
Y: 0.545 0.545 0.361
Y: 0.822 0.822 0.527

**Excess energy over the best structure of this formula in the dataset**: 0.000 eV per atom

***

N(E_F) (states/eV per cell)
14.06; 26.15; 20.98; 16.57; 24.79; 17.54; 33.16; 22.05; 27.54; 21.66; 18.30; 20.55
VASP energy (eV per cell)
-48.63; -96.65; -57.12; -56.16; -71.98; -53.21; -99.62; -61.16; -87.56; -79.38; -64.13; -56.93
Formation energy (eV/atom)
0.426; 0.295; 0.215; 0.217; 0.243; 0.331; 0.044; 0.239; 0.204; 0.028; 0.249; 0.147